# CePm4

A relaxed structure of CePm4 (PBE, the Alexandria database).

The total magnetization comes out at 0.4 μB/f.u. Its polymorph energy (0 for the lowest one) is 0.364 eV per atom. The calculation puts the density of states at the Fermi level at 13.5 states/eV/cell. The calculation puts the calculated formation energy at 0.514 eV/atom.

The structure belongs to space group Pm-3m (No. 221); the cell edges are 5.649, 5.649 and 5.649 Å and the angles 90.00°, 90.00° and 90.00°. Symmetry generates all atoms from Ce at (0.000, 0.000, 0.000), Pm at (0.000, 0.000, 0.500) and Pm at (0.500, 0.500, 0.500).


# TlCo2Re

A relaxed structure of TlCo2Re (PBE, the Alexandria database).

The total magnetization comes out at 1.2 μB/f.u. Its polymorph energy (0 for the lowest one) is 0.199 eV per atom. The calculation puts the density of states at the Fermi level at 10.1 states/eV/cell. The calculation puts the calculated formation energy at 0.585 eV/atom.

The structure belongs to space group Cm (No. 8); the cell edges are 8.831, 2.823 and 4.779 Å and the angles 90.00°, 101.22° and 90.00°. Symmetry generates all atoms from Tl at (0.000, 0.000, 0.000), Co at (0.257, 0.500, 0.238), Co at (0.496, 0.000, 0.497) and Re at (0.234, 0.000, 0.654).


# AcGdRhPb

A relaxed structure of AcGdRhPb (PBE, the Alexandria database).

The total magnetization comes out at 7.2 μB/f.u. The calculation puts the density of states at the Fermi level at 15.6 states/eV/cell. The calculation puts the calculated formation energy at -0.395 eV/atom.

The structure belongs to space group F-43m (No. 216); the cell edges are 7.649, 7.649 and 7.649 Å and the angles 90.00°, 90.00° and 90.00°. Symmetry generates all atoms from Ac at (0.000, 0.000, 0.000), Gd at (0.000, 0.000, 0.500), Rh at (0.250, 0.250, 0.750) and Pb at (0.250, 0.250, 0.250).